No. 1
## LiP4WO12 (PBE+U)

Data for a geometry-optimized LiP4WO12 structure.

Unit cell a=7.488 b=7.488 c=19.065 alpha=90.00 beta=90.00 gamma=101.58
Fractional positions:
Li 0.326 0.144 0.652
Li 0.856 0.674 0.848
Li 0.674 0.856 0.152
Li 0.144 0.326 0.348
P 0.079 0.733 0.365
P 0.267 0.921 0.135
P 0.256 0.732 0.000
P 0.268 0.744 0.500
P 0.379 0.621 0.750
P 0.706 0.751 0.309
P 0.249 0.294 0.191
P 0.378 0.378 0.500
P 0.622 0.622 0.000
P 0.751 0.706 0.691
P 0.294 0.249 0.809
P 0.621 0.379 0.250
P 0.732 0.256 0.000
P 0.744 0.268 0.500
P 0.733 0.079 0.635
P 0.921 0.267 0.865
W 0.538 0.941 0.882
W 0.059 0.462 0.618
W 0.462 0.059 0.382
W 0.941 0.538 0.118
O 0.199 0.914 0.346
O 0.086 0.801 0.154
O 0.105 0.562 0.331
O 0.438 0.895 0.169
O 0.078 0.610 0.019
O 0.390 0.922 0.481
O 0.093 0.708 0.450
O 0.292 0.907 0.050
O 0.204 0.720 0.574
O 0.280 0.796 0.926
O 0.425 0.799 0.789
O 0.201 0.575 0.711
O 0.572 0.835 0.349
O 0.165 0.428 0.151
O 0.380 0.585 0.480
O 0.415 0.620 0.020
O 0.755 0.871 0.636
O 0.129 0.245 0.864
O 0.535 0.609 0.693
O 0.391 0.465 0.807
O 0.269 0.325 0.567
O 0.675 0.731 0.933
O 0.774 0.816 0.239
O 0.184 0.226 0.261
O 0.226 0.184 0.739
O 0.816 0.774 0.761
O 0.325 0.269 0.433
O 0.731 0.675 0.067
O 0.609 0.535 0.307
O 0.465 0.391 0.193
O 0.245 0.129 0.136
O 0.871 0.755 0.364
O 0.620 0.415 0.980
O 0.585 0.380 0.520
O 0.428 0.165 0.849
O 0.835 0.572 0.651
O 0.799 0.425 0.211
O 0.575 0.201 0.289
O 0.720 0.204 0.426
O 0.796 0.280 0.074
O 0.708 0.093 0.550
O 0.907 0.292 0.950
O 0.922 0.390 0.519
O 0.610 0.078 0.981
O 0.562 0.105 0.669
O 0.895 0.438 0.831
O 0.914 0.199 0.654
O 0.801 0.086 0.846

## Properties
* crystal system: orthorhombic
* ΔE to the lowest computed polymorph: 35 meV per atom
* total moment: 0.167 μB/atom
* total energy: -128.3 eV/f.u.

---

No. 2
## LiP3W2O12 (PBE+U)

Data for a geometry-optimized LiP3W2O12 structure.

Unit cell a=8.848 b=8.848 c=8.952 alpha=59.79 beta=59.79 gamma=59.88
Fractional positions:
Li 0.566 0.929 0.240
Li 0.071 0.434 0.760
P 0.542 0.747 0.004
P 0.753 0.540 0.497
P 0.044 0.956 0.500
P 0.959 0.041 0.000
P 0.253 0.458 0.996
P 0.460 0.247 0.503
W 0.861 0.355 0.175
W 0.645 0.139 0.825
W 0.358 0.859 0.675
W 0.141 0.642 0.325
O 0.885 0.996 0.674
O 0.489 0.200 0.678
O 0.725 0.582 0.003
O 0.383 0.699 0.183
O 0.058 0.771 0.509
O 0.702 0.381 0.672
O 0.800 0.511 0.322
O 0.568 0.907 0.009
O 0.591 0.729 0.493
O 0.917 0.558 0.500
O 0.004 0.115 0.326
O 0.229 0.942 0.491
O 0.771 0.051 0.017
O 0.000 0.888 0.176
O 0.093 0.432 0.991
O 0.418 0.275 0.997
O 0.442 0.083 0.500
O 0.301 0.617 0.817
O 0.199 0.498 0.167
O 0.949 0.229 0.983
O 0.619 0.298 0.328
O 0.271 0.409 0.507
O 0.502 0.801 0.833
O 0.112 0.000 0.824

## Properties
* crystal system: monoclinic
* ΔE to the lowest computed polymorph: 5 meV per atom
* total moment: 0.222 μB/atom
* total energy: -131.8 eV/f.u.

---

No. 3
## LiP2WO8 (PBE+U)

Data for a geometry-optimized LiP2WO8 structure.

Unit cell a=5.189 b=11.324 c=11.397 alpha=90.00 beta=90.00 gamma=90.00
Fractional positions:
Li 0.797 0.759 0.091
Li 0.203 0.259 0.409
Li 0.703 0.241 0.591
Li 0.297 0.741 0.909
P 0.295 0.102 0.044
P 0.242 0.871 0.161
P 0.758 0.371 0.339
P 0.705 0.602 0.456
P 0.205 0.898 0.544
P 0.258 0.129 0.661
P 0.742 0.629 0.839
P 0.795 0.398 0.956
W 0.272 0.403 0.150
W 0.728 0.903 0.350
W 0.228 0.597 0.650
W 0.772 0.097 0.850
O 0.101 0.080 0.946
O 0.068 0.430 0.998
O 0.165 0.812 0.048
O 0.279 0.223 0.098
O 0.232 0.013 0.150
O 0.255 0.550 0.197
O 0.954 0.343 0.243
O 0.522 0.841 0.200
O 0.478 0.341 0.300
O 0.046 0.843 0.257
O 0.745 0.050 0.303
O 0.768 0.513 0.350
O 0.721 0.723 0.402
O 0.835 0.312 0.452
O 0.932 0.930 0.502
O 0.899 0.580 0.554
O 0.399 0.920 0.446
O 0.432 0.570 0.498
O 0.335 0.188 0.548
O 0.221 0.777 0.598
O 0.268 0.987 0.650
O 0.245 0.450 0.697
O 0.546 0.657 0.743
O 0.978 0.159 0.700
O 0.022 0.659 0.800
O 0.454 0.157 0.757
O 0.755 0.950 0.803
O 0.732 0.487 0.850
O 0.779 0.277 0.902
O 0.665 0.688 0.952
O 0.568 0.070 0.002
O 0.601 0.420 0.054

## Properties
* crystal system: orthorhombic
* ΔE to the lowest computed polymorph: 7 meV per atom
* total moment: 0.083 μB/atom
* total energy: -85.5 eV/f.u.